(1)
A plane-wave DFT calculation with GGA-PBE was carried out for a relaxed HfBeSe2 crystal.

POSCAR file:
```
HfBeSe2
1.0
0.074 6.547 4.460
-1.002 3.985 6.773
2.517 4.423 6.071
Be Se Hf
1 2 1
Direct
0.000 0.000 0.000 Be
0.092 0.092 0.092 Se
0.908 0.908 0.908 Se
0.500 0.500 0.500 Hf
```

Results
**Fermi-level density of states**: 0.95 states/eV/cell
**Formation energy (no corrections)**: -508 meV/atom
**Spin magnetization**: 0.000 μB/cell

(2)
A plane-wave DFT calculation with GGA-PBE was carried out for a relaxed V2Si2Ag crystal.

POSCAR file:
```
V2Si2Ag
1.0
6.569 0.000 0.000
0.000 6.569 0.000
0.000 0.000 3.274
V Si Ag
4 4 2
Direct
0.333 0.167 0.500 V
0.167 0.667 0.500 V
0.833 0.333 0.500 V
0.667 0.833 0.500 V
0.628 0.128 0.000 Si
0.372 0.872 0.000 Si
0.128 0.372 0.000 Si
0.872 0.628 0.000 Si
0.000 0.000 0.000 Ag
0.500 0.500 0.000 Ag
```

Results
**Fermi-level density of states**: 11.34 states/eV/cell
**Formation energy (no corrections)**: -137 meV/atom
**Spin magnetization**: 0.021 μB/cell